A plane-wave DFT calculation with PBE-GGA was carried out for crystalline NbC at its relaxed geometry.

Output
- E_tot (eV per atom) = -9.73
- ΔE to the lowest computed polymorph (eV/atom) = 0.392
- mass density (g/cm3) = 7.384
- energy relative to the elements (eV/atom) = -0.08
- calculated volume (Å³/cell) = 23.6

CIF file:
```
data_NbC
_chemical_formula_sum 'Nb1 C1'
_cell_length_a 3.0698
_cell_length_b 3.0698
_cell_length_c 2.8909
_cell_angle_alpha 90.00
_cell_angle_beta 90.00
_cell_angle_gamma 120.00
_symmetry_space_group_name_H-M 'P -6 m 2'
_symmetry_Int_Tables_number 187
_symmetry_space_group_name_Hall 'P -6 2'
loop_
_atom_site_label
_atom_site_fract_x
_atom_site_fract_y
_atom_site_fract_z
Nb1 0.0000 0.0000 0.0000
C1 0.6667 0.3333 0.5000
```


A plane-wave DFT calculation with PBE-GGA was carried out for crystalline Si4Au5 at its relaxed geometry.

Output
- E_form (uncorrected) (eV/atom) = 0.2785
- E_tot (eV per atom) = -3.95
- mass density (g/cm3) = 11.203
- calculated volume (Å³/cell) = 325.3

CIF file:
```
data_Si4Au5
_chemical_formula_sum 'Si8 Au10'
_cell_length_a 7.4338
_cell_length_b 7.4338
_cell_length_c 6.7963
_cell_angle_alpha 90.00
_cell_angle_beta 90.00
_cell_angle_gamma 120.00
_symmetry_space_group_name_H-M 'P 63/m c m'
_symmetry_Int_Tables_number 193
_symmetry_space_group_name_Hall '-P 6c 2'
loop_
_atom_site_label
_atom_site_fract_x
_atom_site_fract_y
_atom_site_fract_z
Si1 0.0000 0.0000 0.0000
Si2 0.0000 0.3792 0.2500
Au1 0.0000 0.2856 0.7500
Au2 0.3333 0.6667 0.0000
```


A plane-wave DFT calculation with PBE-GGA was carried out for crystalline MgBPb2I at its relaxed geometry.

Output
- E_form (uncorrected) (eV/atom) = 0.3754
- E_tot (eV per atom) = -3.07
- mass density (g/cm3) = 7.083
- calculated volume (Å³/cell) = 135.1

CIF file:
```
data_MgBPb2I
_chemical_formula_sum 'Mg1 B1 Pb2 I1'
_cell_length_a 5.4018
_cell_length_b 5.4018
_cell_length_c 4.6311
_cell_angle_alpha 90.00
_cell_angle_beta 90.00
_cell_angle_gamma 90.00
_symmetry_space_group_name_H-M 'P 4/m m m'
_symmetry_Int_Tables_number 123
_symmetry_space_group_name_Hall '-P 4 2'
loop_
_atom_site_label
_atom_site_fract_x
_atom_site_fract_y
_atom_site_fract_z
Mg1 0.0000 0.0000 0.0000
B1 0.0000 0.0000 0.5000
Pb1 0.0000 0.5000 0.5000
I1 0.5000 0.5000 0.0000
```